Entry 1:
The following is a PBE calculation of a relaxed structure of Li3Ca5I12, from Alexandria.

Unit cell a=16.598 b=16.598 c=16.598 alpha=109.47 beta=109.47 gamma=109.47
Positions (direct):
Li  0.125  0.250  0.375
Li  0.125  0.375  0.750
Li  0.250  0.375  0.125
Li  0.250  0.875  0.625
Li  0.375  0.125  0.250
Li  0.375  0.750  0.125
Li  0.625  0.250  0.875
Li  0.625  0.875  0.750
Li  0.750  0.125  0.375
Li  0.750  0.625  0.875
Li  0.875  0.625  0.250
Li  0.875  0.750  0.625
Ca  0.000  0.000  0.000
Ca  0.000  0.000  0.500
Ca  0.000  0.500  0.000
Ca  0.000  0.500  0.500
Ca  0.125  0.750  0.875
Ca  0.125  0.875  0.250
Ca  0.250  0.125  0.875
Ca  0.250  0.625  0.375
Ca  0.375  0.250  0.625
Ca  0.375  0.625  0.750
Ca  0.500  0.000  0.000
Ca  0.500  0.000  0.500
Ca  0.500  0.500  0.000
Ca  0.500  0.500  0.500
Ca  0.625  0.375  0.250
Ca  0.625  0.750  0.375
Ca  0.750  0.375  0.625
Ca  0.750  0.875  0.125
Ca  0.875  0.125  0.750
Ca  0.875  0.250  0.125
I  0.041  0.217  0.122
I  0.041  0.325  0.919
I  0.081  0.622  0.406
I  0.081  0.959  0.675
I  0.094  0.717  0.675
I  0.094  0.878  0.419
I  0.122  0.041  0.217
I  0.122  0.581  0.906
I  0.175  0.217  0.594
I  0.175  0.459  0.581
I  0.217  0.122  0.041
I  0.217  0.594  0.175
I  0.283  0.325  0.906
I  0.283  0.459  0.378
I  0.325  0.906  0.283
I  0.325  0.919  0.041
I  0.378  0.283  0.459
I  0.378  0.594  0.919
I  0.406  0.081  0.622
I  0.406  0.825  0.783
I  0.419  0.094  0.878
I  0.419  0.825  0.541
I  0.459  0.378  0.283
I  0.459  0.581  0.175
I  0.541  0.419  0.825
I  0.541  0.622  0.717
I  0.581  0.175  0.459
I  0.581  0.906  0.122
I  0.594  0.175  0.217
I  0.594  0.919  0.378
I  0.622  0.406  0.081
I  0.622  0.717  0.541
I  0.675  0.081  0.959
I  0.675  0.094  0.717
I  0.717  0.541  0.622
I  0.717  0.675  0.094
I  0.783  0.406  0.825
I  0.783  0.878  0.959
I  0.825  0.541  0.419
I  0.825  0.783  0.406
I  0.878  0.419  0.094
I  0.878  0.959  0.783
I  0.906  0.122  0.581
I  0.906  0.283  0.325
I  0.919  0.041  0.325
I  0.919  0.378  0.594
I  0.959  0.675  0.081
I  0.959  0.783  0.878

Results
Theoretical density (g/cm3): 3.29
E (eV/cell): -236.1

***

Entry 2:
The following is a PBE calculation of a relaxed structure of LiCa2I, from Alexandria.

Unit cell a=5.722 b=5.722 c=5.722 alpha=60.00 beta=60.00 gamma=60.00
Positions (direct):
Li  0.000  0.000  0.000
Ca  0.250  0.250  0.250
Ca  0.750  0.750  0.750
I  0.500  0.500  0.500

Results
Theoretical density (g/cm3): 2.68
E (eV/cell): -8.4
Distance to the lowest polymorph of the same formula (kJ/mol of atoms): 20.4

***

Entry 3:
The following is a PBE calculation of a relaxed structure of Li2Ca2I, from Alexandria.

Unit cell a=8.732 b=8.732 c=4.488 alpha=90.00 beta=90.00 gamma=90.00
Positions (direct):
Li  0.118  0.382  0.000
Li  0.382  0.882  0.000
Li  0.618  0.118  0.000
Li  0.882  0.618  0.000
Ca  0.171  0.671  0.500
Ca  0.329  0.171  0.500
Ca  0.671  0.829  0.500
Ca  0.829  0.329  0.500
I  0.000  0.000  0.500
I  0.500  0.500  0.500

Results
Theoretical density (g/cm3): 2.14
E (eV/cell): -21.1
Distance to the lowest polymorph of the same formula (kJ/mol of atoms): 5.6

***

Q: What is the E in the second record?
A: -8.4 eV/cell

***

Q: The lowest theoretical density belongs to which entry?
A: Li2Ca2I

***

Q: The highest E belongs to which entry?
A: LiCa2I

***

Q: Which formula does entry 2 have?
A: LiCa2I